[1]
# ZnCo2Rh (PBE, optimized geometry)
data_ZnCo2Rh
_cell_length_a 2.633
_cell_length_b 3.964
_cell_length_c 5.016
_cell_angle_alpha 90.00
_cell_angle_beta 105.09
_cell_angle_gamma 90.00
_space_group_name_H-M_alt 'P 1 m 1'
_space_group_IT_number 6
loop_
_space_group_symop_operation_xyz
'x,y,z'
'x,-y,z'
loop_
_atom_site_label
_atom_site_type_symbol
_atom_site_fract_x
_atom_site_fract_y
_atom_site_fract_z
Zn1 Zn 0.000 0.000 0.000
Co1 Co 0.616 0.500 0.233
Co2 Co 0.739 0.000 0.476
Rh1 Rh 0.356 0.500 0.712
# **Energy of formation from the pure elements**: 0.072 eV per formula unit

[2]
# NbTc3Pd (PBE, optimized geometry)
data_NbTc3Pd
_cell_length_a 4.667
_cell_length_b 4.667
_cell_length_c 4.667
_cell_angle_alpha 90.00
_cell_angle_beta 90.00
_cell_angle_gamma 90.00
_space_group_name_H-M_alt 'P m -3 m'
_space_group_IT_number 221
_space_group_name_Hall '-P 4 2 3'
loop_
_atom_site_label
_atom_site_type_symbol
_atom_site_fract_x
_atom_site_fract_y
_atom_site_fract_z
Nb1 Nb 0.000 0.000 0.000
Tc1 Tc 0.000 0.000 0.500
Pd1 Pd 0.500 0.500 0.500
# **Energy of formation from the pure elements**: 8.954 eV per formula unit

[3]
# LiSiAs2 (PBE, optimized geometry)
data_LiSiAs2
_cell_length_a 6.024
_cell_length_b 3.475
_cell_length_c 7.319
_cell_angle_alpha 90.00
_cell_angle_beta 106.00
_cell_angle_gamma 90.00
_space_group_name_H-M_alt 'C 1 2/m 1'
_space_group_IT_number 12
loop_
_space_group_symop_operation_xyz
'x,y,z'
'-x,-y,-z'
'-x,y,-z'
'x,-y,z'
'x+1/2,y+1/2,z'
'-x+1/2,-y+1/2,-z'
'-x+1/2,y+1/2,-z'
'x+1/2,-y+1/2,z'
loop_
_atom_site_label
_atom_site_type_symbol
_atom_site_fract_x
_atom_site_fract_y
_atom_site_fract_z
Li1 Li 0.000 0.000 0.000
Si1 Si 0.000 0.500 0.500
As1 As 0.239 0.000 0.715
# **Total energy**: -4.322 eV per atom

[4]
# Fe2HgRh (PBE, optimized geometry)
data_Fe2HgRh
_cell_length_a 8.985
_cell_length_b 2.886
_cell_length_c 4.752
_cell_angle_alpha 90.00
_cell_angle_beta 101.09
_cell_angle_gamma 90.00
_space_group_name_H-M_alt 'C 1 2/m 1'
_space_group_IT_number 12
loop_
_space_group_symop_operation_xyz
'x,y,z'
'-x,-y,-z'
'-x,y,-z'
'x,-y,z'
'x+1/2,y+1/2,z'
'-x+1/2,-y+1/2,-z'
'-x+1/2,y+1/2,-z'
'x+1/2,-y+1/2,z'
loop_
_atom_site_label
_atom_site_type_symbol
_atom_site_fract_x
_atom_site_fract_y
_atom_site_fract_z
Fe1 Fe 0.245 0.000 0.216
Hg1 Hg 0.000 0.000 0.500
Rh1 Rh 0.000 0.500 0.000
# **Energy of formation from the pure elements**: 1.098 eV per formula unit

[5]
# Ni2RhAu (PBE, optimized geometry)
data_Ni2RhAu
_cell_length_a 2.7364
_cell_length_b 2.7364
_cell_length_c 25.7177
_cell_angle_alpha 90.00
_cell_angle_beta 90.00
_cell_angle_gamma 120.00
_space_group_name_H-M_alt 'R -3 m'
_space_group_IT_number 166
_space_group_name_Hall '-R 3 2"'
loop_
_atom_site_label
_atom_site_type_symbol
_atom_site_fract_x
_atom_site_fract_y
_atom_site_fract_z
Ni1 Ni 0.0000 0.0000 0.2461
Rh1 Rh 0.0000 0.0000 0.5000
Au1 Au 0.0000 0.0000 0.0000
# **Energy of formation from the pure elements**: 0.583 eV per formula unit

[6]
# HoSi2W (PBE, optimized geometry)
data_HoSi2W
_cell_length_a 3.6774
_cell_length_b 3.6774
_cell_length_c 19.5244
_cell_angle_alpha 90.00
_cell_angle_beta 90.00
_cell_angle_gamma 120.00
_space_group_name_H-M_alt 'R -3 m'
_space_group_IT_number 166
_space_group_name_Hall '-R 3 2"'
loop_
_atom_site_label
_atom_site_type_symbol
_atom_site_fract_x
_atom_site_fract_y
_atom_site_fract_z
Ho1 Ho 0.0000 0.0000 0.0000
Si1 Si 0.0000 0.0000 0.2377
W1 W 0.0000 0.0000 0.5000
# **Total energy**: -7.247 eV per atom

[7]
# CoReCl2 (PBE, optimized geometry)
data_CoReCl2
_cell_length_a 2.853
_cell_length_b 4.068
_cell_length_c 5.609
_cell_angle_alpha 90.00
_cell_angle_beta 104.37
_cell_angle_gamma 90.00
_space_group_name_H-M_alt 'P 1 2/m 1'
_space_group_IT_number 10
loop_
_space_group_symop_operation_xyz
'x,y,z'
'-x,-y,-z'
'-x,y,-z'
'x,-y,z'
loop_
_atom_site_label
_atom_site_type_symbol
_atom_site_fract_x
_atom_site_fract_y
_atom_site_fract_z
Co1 Co 0.000 0.000 0.000
Re1 Re 0.000 0.000 0.500
Cl1 Cl 0.128 0.500 0.754
# **Total energy**: -5.035 eV per atom

[8]
# CaAc5PrSm2 (PBE, optimized geometry)
data_CaAc5PrSm2
_cell_length_a 5.976
_cell_length_b 22.202
_cell_length_c 11.340
_cell_angle_alpha 90.00
_cell_angle_beta 90.00
_cell_angle_gamma 90.00
_space_group_name_H-M_alt 'C m c 21'
_space_group_IT_number 36
loop_
_space_group_symop_operation_xyz
'x,y,z'
'-x,-y,z+1/2'
'-x,y,z'
'x,-y,z+1/2'
'x+1/2,y+1/2,z'
'-x+1/2,-y+1/2,z+1/2'
'-x+1/2,y+1/2,z'
'x+1/2,-y+1/2,z+1/2'
loop_
_atom_site_label
_atom_site_type_symbol
_atom_site_fract_x
_atom_site_fract_y
_atom_site_fract_z
Ca1 Ca 0.000 0.097 0.000
Ac1 Ac 0.000 0.000 0.251
Ac2 Ac 0.000 0.129 0.502
Ac3 Ac 0.000 0.218 0.192
Ac4 Ac 0.000 0.219 0.811
Ac5 Ac 0.000 0.497 0.501
Pr1 Pr 0.000 0.308 0.502
Sm1 Sm 0.000 0.387 0.235
Sm2 Sm 0.000 0.387 0.768
# **Energy of formation from the pure elements**: 1.470 eV per formula unit

[9]
# Pa2SiNi2 (PBE, optimized geometry)
data_Pa2SiNi2
_cell_length_a 6.784
_cell_length_b 6.784
_cell_length_c 3.880
_cell_angle_alpha 90.00
_cell_angle_beta 90.00
_cell_angle_gamma 90.00
_space_group_name_H-M_alt 'P 4/m b m'
_space_group_IT_number 127
_space_group_name_Hall '-P 4 2ab'
loop_
_atom_site_label
_atom_site_type_symbol
_atom_site_fract_x
_atom_site_fract_y
_atom_site_fract_z
Pa1 Pa 0.181 0.319 0.000
Si1 Si 0.000 0.000 0.500
Ni1 Ni 0.130 0.630 0.500
# **Total energy**: -7.715 eV per atom

[10]
# Ta2AgCl (PBE, optimized geometry)
data_Ta2AgCl
_cell_length_a 5.688
_cell_length_b 8.840
_cell_length_c 2.872
_cell_angle_alpha 90.00
_cell_angle_beta 90.00
_cell_angle_gamma 90.00
_space_group_name_H-M_alt 'C m m m'
_space_group_IT_number 65
_space_group_name_Hall '-C 2 2'
loop_
_atom_site_label
_atom_site_type_symbol
_atom_site_fract_x
_atom_site_fract_y
_atom_site_fract_z
Ta1 Ta 0.250 0.250 0.000
Ag1 Ag 0.000 0.000 0.500
Cl1 Cl 0.000 0.500 0.500
# **Total energy**: -6.384 eV per atom

[11]
# SrGeSeBr2 (PBE, optimized geometry)
data_SrGeSeBr2
_cell_length_a 5.303
_cell_length_b 5.303
_cell_length_c 5.474
_cell_angle_alpha 90.00
_cell_angle_beta 90.00
_cell_angle_gamma 90.00
_space_group_name_H-M_alt 'P 4/m m m'
_space_group_IT_number 123
_space_group_name_Hall '-P 4 2'
loop_
_atom_site_label
_atom_site_type_symbol
_atom_site_fract_x
_atom_site_fract_y
_atom_site_fract_z
Sr1 Sr 0.000 0.000 0.000
Ge1 Ge 0.500 0.500 0.500
Se1 Se 0.500 0.500 0.000
Br1 Br 0.000 0.500 0.500
# **Total energy**: -3.558 eV per atom

[12]
# Pr2AlInAu6 (PBE, optimized geometry)
data_Pr2AlInAu6
_cell_length_a 5.583
_cell_length_b 6.881
_cell_length_c 6.893
_cell_angle_alpha 79.44
_cell_angle_beta 69.79
_cell_angle_gamma 67.77
_space_group_name_H-M_alt 'P -1'
_space_group_IT_number 2
loop_
_space_group_symop_operation_xyz
'x,y,z'
'-x,-y,-z'
loop_
_atom_site_label
_atom_site_type_symbol
_atom_site_fract_x
_atom_site_fract_y
_atom_site_fract_z
Pr1 Pr 0.004 0.245 0.242
Al1 Al 0.500 0.000 0.500
In1 In 0.500 0.500 0.000
Au1 Au 0.001 0.212 0.741
Au2 Au 0.366 0.399 0.422
Au3 Au 0.488 0.166 0.819
# **Energy of formation from the pure elements**: -4.985 eV per formula unit

[13]
# Dy4ZrSb5 (PBE, optimized geometry)
data_Dy4ZrSb5
_cell_length_a 4.333
_cell_length_b 4.333
_cell_length_c 30.596
_cell_angle_alpha 90.00
_cell_angle_beta 90.00
_cell_angle_gamma 90.00
_space_group_name_H-M_alt 'I 4/m m m'
_space_group_IT_number 139
_space_group_name_Hall '-I 4 2'
loop_
_atom_site_label
_atom_site_type_symbol
_atom_site_fract_x
_atom_site_fract_y
_atom_site_fract_z
Dy1 Dy 0.000 0.000 0.099
Dy2 Dy 0.000 0.000 0.301
Zr1 Zr 0.000 0.000 0.500
Sb1 Sb 0.000 0.000 0.000
Sb2 Sb 0.000 0.000 0.200
Sb3 Sb 0.000 0.000 0.403
# **Total energy**: -5.762 eV per atom

[14]
# La2Tm2Ni15 (PBE, optimized geometry)
data_La2Tm2Ni15
_cell_length_a 8.5960
_cell_length_b 8.5960
_cell_length_c 12.7084
_cell_angle_alpha 90.00
_cell_angle_beta 90.00
_cell_angle_gamma 120.00
_space_group_name_H-M_alt 'R -3 m'
_space_group_IT_number 166
_space_group_name_Hall '-R 3 2"'
loop_
_atom_site_label
_atom_site_type_symbol
_atom_site_fract_x
_atom_site_fract_y
_atom_site_fract_z
La1 La 0.0000 0.0000 0.1419
Tm1 Tm 0.0000 0.0000 0.3896
Ni1 Ni 0.0000 0.3013 0.5000
Ni2 Ni 0.0000 0.5000 0.0000
Ni3 Ni 0.0051 0.5026 0.6564
# **Energy of formation from the pure elements**: -4.564 eV per formula unit

[15]
# Ho3PuHg6 (PBE, optimized geometry)
data_Ho3PuHg6
_cell_length_a 9.137
_cell_length_b 5.171
_cell_length_c 11.166
_cell_angle_alpha 90.00
_cell_angle_beta 107.68
_cell_angle_gamma 90.00
_space_group_name_H-M_alt 'P 1 21/m 1'
_space_group_IT_number 11
loop_
_space_group_symop_operation_xyz
'x,y,z'
'-x,-y,-z'
'-x,y+1/2,-z'
'x,-y+1/2,z'
loop_
_atom_site_label
_atom_site_type_symbol
_atom_site_fract_x
_atom_site_fract_y
_atom_site_fract_z
Ho1 Ho 0.026 0.250 0.383
Ho2 Ho 0.146 0.750 0.203
Ho3 Ho 0.272 0.250 0.985
Pu1 Pu 0.446 0.250 0.594
Hg1 Hg 0.032 0.750 0.914
Hg2 Hg 0.152 0.250 0.693
Hg3 Hg 0.237 0.750 0.494
Hg4 Hg 0.335 0.250 0.289
Hg5 Hg 0.353 0.750 0.805
Hg6 Hg 0.434 0.750 0.106
# **Energy of formation from the pure elements**: -3.348 eV per formula unit

[16]
# AgSn2BiH (PBE, optimized geometry)
data_AgSn2BiH
_cell_length_a 5.803
_cell_length_b 5.803
_cell_length_c 3.470
_cell_angle_alpha 90.00
_cell_angle_beta 90.00
_cell_angle_gamma 90.00
_space_group_name_H-M_alt 'P 4/m m m'
_space_group_IT_number 123
_space_group_name_Hall '-P 4 2'
loop_
_atom_site_label
_atom_site_type_symbol
_atom_site_fract_x
_atom_site_fract_y
_atom_site_fract_z
Ag1 Ag 0.000 0.000 0.000
Sn1 Sn 0.000 0.500 0.000
Bi1 Bi 0.500 0.500 0.500
H1 H 0.000 0.000 0.500
# **Total energy**: -3.406 eV per atom

[17]
# Sr3ZrAg (PBE, optimized geometry)
data_Sr3ZrAg
_cell_length_a 6.011
_cell_length_b 6.011
_cell_length_c 6.011
_cell_angle_alpha 90.00
_cell_angle_beta 90.00
_cell_angle_gamma 90.00
_space_group_name_H-M_alt 'P m -3 m'
_space_group_IT_number 221
_space_group_name_Hall '-P 4 2 3'
loop_
_atom_site_label
_atom_site_type_symbol
_atom_site_fract_x
_atom_site_fract_y
_atom_site_fract_z
Sr1 Sr 0.000 0.000 0.500
Zr1 Zr 0.500 0.500 0.500
Ag1 Ag 0.000 0.000 0.000
# **Energy of formation from the pure elements**: 2.589 eV per formula unit

[18]
# PaPdN2 (PBE, optimized geometry)
data_PaPdN2
_cell_length_a 3.5879
_cell_length_b 3.5879
_cell_length_c 14.8575
_cell_angle_alpha 90.00
_cell_angle_beta 90.00
_cell_angle_gamma 120.00
_space_group_name_H-M_alt 'R -3 m'
_space_group_IT_number 166
_space_group_name_Hall '-R 3 2"'
loop_
_atom_site_label
_atom_site_type_symbol
_atom_site_fract_x
_atom_site_fract_y
_atom_site_fract_z
Pa1 Pa 0.0000 0.0000 0.0000
Pd1 Pd 0.0000 0.0000 0.5000
N1 N 0.0000 0.0000 0.2642
# **Total energy**: -8.568 eV per atom

[19]
# Dy6Tl3Ru (PBE, optimized geometry)
data_Dy6Tl3Ru
_cell_length_a 9.336
_cell_length_b 5.303
_cell_length_c 11.273
_cell_angle_alpha 90.00
_cell_angle_beta 106.57
_cell_angle_gamma 90.00
_space_group_name_H-M_alt 'P 1 21/m 1'
_space_group_IT_number 11
loop_
_space_group_symop_operation_xyz
'x,y,z'
'-x,-y,-z'
'-x,y+1/2,-z'
'x,-y+1/2,z'
loop_
_atom_site_label
_atom_site_type_symbol
_atom_site_fract_x
_atom_site_fract_y
_atom_site_fract_z
Dy1 Dy 0.044 0.250 0.412
Dy2 Dy 0.194 0.750 0.169
Dy3 Dy 0.288 0.250 0.003
Dy4 Dy 0.351 0.750 0.833
Dy5 Dy 0.378 0.250 0.341
Dy6 Dy 0.396 0.250 0.648
Tl1 Tl 0.009 0.750 0.884
Tl2 Tl 0.097 0.250 0.717
Tl3 Tl 0.280 0.750 0.479
Ru1 Ru 0.461 0.750 0.096
# **Energy of formation from the pure elements**: -2.937 eV per formula unit

[20]
# ThTcGe (PBE, optimized geometry)
data_ThTcGe
_cell_length_a 4.4025
_cell_length_b 4.4025
_cell_length_c 3.8801
_cell_angle_alpha 90.00
_cell_angle_beta 90.00
_cell_angle_gamma 120.00
_space_group_name_H-M_alt 'P -6 m 2'
_space_group_IT_number 187
_space_group_name_Hall 'P -6 2'
loop_
_atom_site_label
_atom_site_type_symbol
_atom_site_fract_x
_atom_site_fract_y
_atom_site_fract_z
Th1 Th 0.0000 0.0000 0.0000
Tc1 Tc 0.6667 0.3333 0.5000
Ge1 Ge 0.3333 0.6667 0.5000
# **Energy of formation from the pure elements**: -1.080 eV per formula unit

[21]
# CdIn4Ni (PBE, optimized geometry)
data_CdIn4Ni
_cell_length_a 8.494
_cell_length_b 8.494
_cell_length_c 8.494
_cell_angle_alpha 90.00
_cell_angle_beta 90.00
_cell_angle_gamma 90.00
_space_group_name_H-M_alt 'F -4 3 m'
_space_group_IT_number 216
_space_group_name_Hall 'F -4 2 3'
loop_
_atom_site_label
_atom_site_type_symbol
_atom_site_fract_x
_atom_site_fract_y
_atom_site_fract_z
Cd1 Cd 0.000 0.000 0.000
In1 In 0.125 0.125 0.625
Ni1 Ni 0.250 0.250 0.250
# **Energy of formation from the pure elements**: 2.977 eV per formula unit

[22]
# AcPb4 (PBE, optimized geometry)
data_AcPb4
_cell_length_a 5.392
_cell_length_b 7.037
_cell_length_c 17.216
_cell_angle_alpha 90.00
_cell_angle_beta 90.00
_cell_angle_gamma 90.00
_space_group_name_H-M_alt 'I m m a'
_space_group_IT_number 74
_space_group_name_Hall '-I 2b 2'
loop_
_atom_site_label
_atom_site_type_symbol
_atom_site_fract_x
_atom_site_fract_y
_atom_site_fract_z
Ac1 Ac 0.000 0.250 0.111
Pb1 Pb 0.000 0.000 0.500
Pb2 Pb 0.000 0.022 0.697
Pb3 Pb 0.000 0.250 0.898
# **Energy of formation from the pure elements**: -1.318 eV per formula unit

[23]
# AcCuAgPb (PBE, optimized geometry)
data_AcCuAgPb
_cell_length_a 7.383
_cell_length_b 7.383
_cell_length_c 7.383
_cell_angle_alpha 90.00
_cell_angle_beta 90.00
_cell_angle_gamma 90.00
_space_group_name_H-M_alt 'F -4 3 m'
_space_group_IT_number 216
_space_group_name_Hall 'F -4 2 3'
loop_
_atom_site_label
_atom_site_type_symbol
_atom_site_fract_x
_atom_site_fract_y
_atom_site_fract_z
Ac1 Ac 0.000 0.000 0.000
Cu1 Cu 0.250 0.250 0.750
Ag1 Ag 0.250 0.250 0.250
Pb1 Pb 0.000 0.000 0.500
# **Energy of formation from the pure elements**: -0.794 eV per formula unit

[24]
# Tl2CrHgBr6 (PBE, optimized geometry)
data_Tl2CrHgBr6
_cell_length_a 7.769
_cell_length_b 7.981
_cell_length_c 12.701
_cell_angle_alpha 90.00
_cell_angle_beta 123.38
_cell_angle_gamma 90.00
_space_group_name_H-M_alt 'P 1 21/c 1'
_space_group_IT_number 14
loop_
_space_group_symop_operation_xyz
'x,y,z'
'-x,-y,-z'
'-x,y+1/2,-z+1/2'
'x,-y+1/2,z+1/2'
loop_
_atom_site_label
_atom_site_type_symbol
_atom_site_fract_x
_atom_site_fract_y
_atom_site_fract_z
Tl1 Tl 0.203 0.078 0.235
Cr1 Cr 0.000 0.000 0.500
Hg1 Hg 0.500 0.000 0.000
Br1 Br 0.129 0.233 0.956
Br2 Br 0.220 0.673 0.951
Br3 Br 0.348 0.008 0.760
# **Total energy**: -3.131 eV per atom